First-principles (PBE) data for a relaxed structure of Nd3CoCl, as listed in the Alexandria database.

Cell lengths 8.8277, 3.7017, 8.9098 Å; angles 90.00, 112.62, 90.00 degrees
Sites, in units of the cell vectors:
Nd (0.0519, 0.2500, 0.2420)
Nd (0.3069, 0.7500, 0.6271)
Nd (0.3163, 0.2500, 0.9896)
Nd (0.6837, 0.7500, 0.0104)
Nd (0.6931, 0.2500, 0.3729)
Nd (0.9481, 0.7500, 0.7580)
Co (0.0614, 0.2500, 0.5903)
Co (0.9386, 0.7500, 0.4097)
Cl (0.3687, 0.7500, 0.3103)
Cl (0.6313, 0.2500, 0.6897)

## Properties
- Symmetry: No. 11
- V: 26.87 Å³ per atom
- Total DFT energy (no corrections): -52.22 eV for the cell shown